No. 1
A relaxed structure of MnBe10Nb, computed with PBE-GGA.

Cell lengths 3.415, 4.315, 7.526 Å; angles 90.00, 90.00, 90.00 degrees
Positions (direct):
Mn 0.000 0.000 0.000
Be 0.000 0.000 0.320
Be 0.000 0.000 0.680
Be 0.000 0.500 0.159
Be 0.000 0.500 0.841
Be 0.500 0.000 0.500
Be 0.500 0.255 0.249
Be 0.500 0.255 0.751
Be 0.500 0.500 0.000
Be 0.500 0.745 0.249
Be 0.500 0.745 0.751
Nb 0.000 0.500 0.500

Results
Total DFT energy (no corrections) = -58.0 eV per cell
Calculated formation energy = -129 meV/atom
Space-group type = Pmmm


No. 2
A relaxed structure of Tb3AgTe8Pb3, computed with PBE-GGA.

Cell lengths 9.110, 9.110, 9.110 Å; angles 58.32, 58.32, 58.32 degrees
Positions (direct):
Tb 0.000 0.500 0.500
Tb 0.500 0.000 0.500
Tb 0.500 0.500 0.000
Ag 0.000 0.000 0.000
Te 0.245 0.245 0.742
Te 0.245 0.742 0.245
Te 0.254 0.254 0.254
Te 0.258 0.755 0.755
Te 0.742 0.245 0.245
Te 0.746 0.746 0.746
Te 0.755 0.258 0.755
Te 0.755 0.755 0.258
Pb 0.000 0.000 0.500
Pb 0.000 0.500 0.000
Pb 0.500 0.000 0.000

Results
Total DFT energy (no corrections) = -64.5 eV per cell
Uncorrected formation energy = -11.48 eV per formula unit
Space-group type = R-3m


No. 3
A relaxed structure of ZrS2I, computed with PBE-GGA.

Cell lengths 12.103, 12.103, 12.103 Å; angles 17.21, 17.21, 17.21 degrees
Positions (direct):
Zr 0.000 0.000 0.000
S 0.375 0.375 0.375
S 0.625 0.625 0.625
I 0.500 0.500 0.500

Results
Total DFT energy (no corrections) = -22.5 eV per cell
Uncorrected formation energy = -4.12 eV per formula unit
Space-group type = R-3m
Excess energy over the best structure of this formula in the dataset = 11 meV/atom


No. 4
A relaxed structure of CsTlHgBr, computed with PBE-GGA.

Cell lengths 6.064, 6.064, 6.064 Å; angles 60.00, 60.00, 60.00 degrees
Positions (direct):
Cs 0.000 0.000 0.000
Tl 0.500 0.500 0.500
Hg 0.750 0.750 0.750
Br 0.250 0.250 0.250

Results
Total DFT energy (no corrections) = -7.4 eV per cell
Uncorrected formation energy = -2.19 eV per formula unit
Space-group type = F-43m


No. 5
A relaxed structure of KTe2Ru, computed with PBE-GGA.

Cell lengths 10.213, 10.213, 10.213 Å; angles 20.97, 20.97, 20.97 degrees
Positions (direct):
K 0.000 0.000 0.000
Te 0.241 0.241 0.241
Te 0.470 0.470 0.470
Ru 0.760 0.760 0.760

Results
Total DFT energy (no corrections) = -15.9 eV per cell
Uncorrected formation energy = 0.80 eV per formula unit
Space-group type = R3m
Excess energy over the best structure of this formula in the dataset = 570 meV/atom


No. 6
A relaxed structure of AlHg2Os, computed with PBE-GGA.

Cell lengths 2.868, 5.295, 4.874 Å; angles 90.00, 91.90, 90.00 degrees
Positions (direct):
Al 0.000 0.000 0.000
Hg 0.243 0.500 0.251
Hg 0.757 0.500 0.749
Os 0.500 0.000 0.500

Results
Total DFT energy (no corrections) = -13.3 eV per cell
Calculated formation energy = 559 meV/atom
Space-group type = P2/m


No. 7
A relaxed structure of KMn2BeGe, computed with PBE-GGA.

Cell lengths 4.923, 4.923, 4.412 Å; angles 90.00, 90.00, 90.00 degrees
Positions (direct):
K 0.000 0.000 0.000
Mn 0.000 0.500 0.500
Mn 0.500 0.000 0.500
Be 0.500 0.500 0.000
Ge 0.500 0.500 0.500

Results
Total DFT energy (no corrections) = -24.0 eV per cell
Calculated formation energy = 755 meV/atom
Space-group type = P4/mmm


No. 8
A relaxed structure of Tc2PtW, computed with PBE-GGA.

Cell lengths 2.763, 3.944, 5.600 Å; angles 90.00, 90.00, 90.00 degrees
Positions (direct):
Tc 0.000 0.000 0.238
Tc 0.000 0.000 0.762
Pt 0.500 0.500 0.500
W 0.500 0.500 0.000

Results
Total DFT energy (no corrections) = -39.8 eV per cell
Calculated formation energy = -13 meV/atom
Space-group type = Pmmm
Excess energy over the best structure of this formula in the dataset = 152 meV/atom


No. 9
A relaxed structure of SmSn3Ru3, computed with PBE-GGA.

Cell lengths 7.156, 7.156, 7.156 Å; angles 90.00, 90.00, 90.00 degrees
Positions (direct):
Sm 0.000 0.000 0.000
Sm 0.500 0.500 0.500
Sn 0.000 0.250 0.500
Sn 0.000 0.750 0.500
Sn 0.250 0.500 0.000
Sn 0.500 0.000 0.250
Sn 0.500 0.000 0.750
Sn 0.750 0.500 0.000
Ru 0.000 0.500 0.250
Ru 0.000 0.500 0.750
Ru 0.250 0.000 0.500
Ru 0.500 0.250 0.000
Ru 0.500 0.750 0.000
Ru 0.750 0.000 0.500

Results
Total DFT energy (no corrections) = -82.6 eV per cell
Calculated formation energy = 468 meV/atom
Space-group type = Pm-3n


Question: Which value of total DFT energy (no corrections) does entry 4 give?
Answer: -7.4 eV per cell


Repeat the sixth record exactly.
A relaxed structure of AlHg2Os, computed with PBE-GGA.

Cell lengths 2.868, 5.295, 4.874 Å; angles 90.00, 91.90, 90.00 degrees
Positions (direct):
Al 0.000 0.000 0.000
Hg 0.243 0.500 0.251
Hg 0.757 0.500 0.749
Os 0.500 0.000 0.500

Results
Total DFT energy (no corrections) = -13.3 eV per cell
Calculated formation energy = 559 meV/atom
Space-group type = P2/m